DFT (GGA-PBE) results for crystalline BeGePO2 at its relaxed geometry.

Unit cell a=3.4649 b=3.4649 c=4.8197 alpha=90.00 beta=90.00 gamma=90.00
Last column: nearest neighbours and their distance in Å.
Fractional coordinates of all 5 atoms:
1 Be 0.0000 0.0000 0.0000  4 O 1.73
2 Ge 0.5000 0.5000 0.5000  4 P 2.45
3 P 0.0000 0.0000 0.5000  2 Be 2.41, 4 Ge 2.45
4 O 0.0000 0.5000 0.0000  2 Be 1.73
5 O 0.5000 0.0000 0.0000  2 Be 1.73

Output
The calculation puts the density of states at the Fermi level at 4.4 states/eV/f.u. For the total magnetization, the calculation gives 0.0 μB/f.u. The uncorrected formation energy is -0.289 eV per atom. The calculated density comes out at 4150 kg/m³.

=====

DFT (GGA-PBE) results for crystalline BeGePO2 at its relaxed geometry.

Unit cell a=3.5532 b=3.5532 c=5.3892 alpha=90.00 beta=90.00 gamma=90.00
Last column: nearest neighbours and their distance in Å.
Fractional coordinates of all 5 atoms:
1 Be 0.0000 0.0000 0.0000  4 P 2.51
2 Ge 0.5000 0.5000 0.5000  4 O 1.78
3 P 0.5000 0.5000 0.0000  4 Be 2.51, 2 Ge 2.69
4 O 0.0000 0.5000 0.5000  2 Ge 1.78
5 O 0.5000 0.0000 0.5000  2 Ge 1.78

Output
The calculation puts the density of states at the Fermi level at 3.4 states/eV/f.u. For the total magnetization, the calculation gives 0.0 μB/f.u. The uncorrected formation energy is -0.140 eV per atom. The calculated density comes out at 3530 kg/m³.

=====

DFT (GGA-PBE) results for crystalline PaBeGeO6 at its relaxed geometry.

Unit cell a=4.8611 b=4.8611 c=9.4970 alpha=90.00 beta=90.00 gamma=120.00
Last column: nearest neighbours and their distance in Å.
Fractional coordinates of all 18 atoms:
1 Pa 0.0000 0.0000 0.0000  6 O 2.19
2 Pa 0.0000 0.0000 0.5000  6 O 2.19
3 Be 0.3333 0.6667 0.2500  6 O 1.86
4 Be 0.6667 0.3333 0.7500  6 O 1.86
5 Ge 0.3333 0.6667 0.7500  6 O 1.90
6 Ge 0.6667 0.3333 0.2500  6 O 1.90
7 O 0.0066 0.3627 0.1396  1 Be 1.86, 1 Ge 1.90
8 O 0.0066 0.6439 0.3604  1 Be 1.86, 1 Ge 1.90
9 O 0.3561 0.3627 0.3604  1 Be 1.86, 1 Ge 1.90
10 O 0.3561 0.9934 0.1396  1 Be 1.86, 1 Ge 1.90
11 O 0.3627 0.0066 0.6396  1 Be 1.86, 1 Ge 1.90
12 O 0.3627 0.3561 0.8604  1 Be 1.86, 1 Ge 1.90
13 O 0.6373 0.6439 0.1396  1 Be 1.86, 1 Ge 1.90
14 O 0.6373 0.9934 0.3604  1 Be 1.86, 1 Ge 1.90
15 O 0.6439 0.0066 0.8604  1 Be 1.86, 1 Ge 1.90
16 O 0.6439 0.6373 0.6396  1 Be 1.86, 1 Ge 1.90
17 O 0.9934 0.3561 0.6396  1 Be 1.86, 1 Ge 1.90
18 O 0.9934 0.6373 0.8604  1 Be 1.86, 1 Ge 1.90

Output
The calculation puts the density of states at the Fermi level at 6.4 states/eV/f.u. For the total magnetization, the calculation gives 0.0 μB/f.u. The uncorrected formation energy is -2.298 eV per atom. The calculated density comes out at 6984 kg/m³.

=====

DFT (GGA-PBE) results for crystalline Be4Ge3PbO12 at its relaxed geometry.

Unit cell a=6.1462 b=6.1462 c=6.1462 alpha=106.07 beta=106.07 gamma=106.07
Last column: nearest neighbours and their distance in Å.
Fractional coordinates of all 20 atoms:
1 Be 0.0000 0.0000 0.0000  3 O 1.55
2 Be 0.0000 0.4384 0.5616  3 O 1.53-1.55
3 Be 0.4384 0.5616 0.0000  3 O 1.53-1.55
4 Be 0.5616 0.0000 0.4384  3 O 1.53-1.55
5 Ge 0.0645 0.9355 0.5000  6 O 1.91
6 Ge 0.5000 0.0645 0.9355  6 O 1.91
7 Ge 0.9355 0.5000 0.0645  6 O 1.91
8 Pb 0.5000 0.5000 0.5000  6 O 2.35
9 O 0.0000 0.5936 0.4064  1 Be 1.53
10 O 0.0000 0.8417 0.1583  1 Be 1.55
11 O 0.1468 0.2701 0.5372  1 Be 1.55
12 O 0.1583 0.0000 0.8417  1 Be 1.55
13 O 0.2701 0.5372 0.1468  1 Be 1.55
14 O 0.4064 0.0000 0.5936  1 Be 1.53
15 O 0.4628 0.7299 0.8532  1 Be 1.55
16 O 0.5372 0.1468 0.2701  1 Be 1.55
17 O 0.5936 0.4064 0.0000  1 Be 1.53
18 O 0.7299 0.8532 0.4628  1 Be 1.55
19 O 0.8417 0.1583 0.0000  1 Be 1.55
20 O 0.8532 0.4628 0.7299  1 Be 1.55

Output
The calculation puts the density of states at the Fermi level at 6.2 states/eV/f.u. For the total magnetization, the calculation gives 0.0 μB/f.u. The uncorrected formation energy is -1.831 eV per atom. The calculated density comes out at 5477 kg/m³.

=====

no.,energy (eV/atom)
1,-5.02
2,-4.87
3,-7.59
4,-6.43